Here is crystalline K2Cu2WO6 at its relaxed geometry from Alexandria. Energies are from GGA+U.

Cell and atoms, written as extended XYZ:
```
11
Lattice="5.7994 0.0001 0.0000 -2.8998 5.0224 0.0000 0.0000 0.0000 6.5254" Properties=species:S:1:pos:R:3 pbc="T T T"
K 2.8997 1.6742 4.4329
K -0.0001 3.3483 2.0925
Cu -0.0001 3.3483 5.4405
Cu 2.8997 1.6742 1.0849
W 0.0000 0.0000 0.0000
O -0.3291 1.5356 5.3581
O 1.7342 3.9697 5.3581
O -1.4054 4.5396 5.3581
O 3.2287 3.4869 1.1672
O 1.1653 1.0528 1.1672
O 4.3050 0.4829 1.1672
```

For the uncorrected energy, the calculation gives -5.6276 eV per atom. The space group is P-3.